This record from Alexandria via LeMat-Bulk describes crystalline AcNpMnO6 at its relaxed geometry. The functional is GGA+U.

The structure belongs to space group P-31c (No. 163); the cell edges are 6.0577, 6.0577 and 8.5811 Å and the angles 90.00°, 90.00° and 120.00°. Symmetry generates all atoms from Ac at (0.3333, 0.6667, 0.2500), Np at (0.3333, 0.6667, 0.7500), Mn at (0.0000, 0.0000, 0.0000) and O at (0.0597, 0.3711, 0.6244).

As for the size of the total moment: 5.00 μB/f.u. The value obtained for the total DFT energy (no corrections) is -8.509 eV/atom.